YThSe: optimized geometry, GGA-PBE.

Unit cell a=7.073 b=7.073 c=7.484 alpha=90.00 beta=90.00 gamma=109.83
Positions (direct):
Y  0.201  0.201  0.000
Y  0.299  0.299  0.500
Y  0.701  0.701  0.500
Y  0.799  0.799  0.000
Th  0.200  0.800  0.681
Th  0.300  0.700  0.181
Th  0.700  0.300  0.819
Th  0.800  0.200  0.319
Se  0.064  0.936  0.304
Se  0.436  0.564  0.804
Se  0.564  0.436  0.196
Se  0.936  0.064  0.696

Calculated values
- V: 352.2 Å³/cell
- DFT total energy: -6.625 eV per atom
- Total magnetic moment: 0.00 Bohr magnetons per cell
- SG: No. 64
- Relative energy among the computed polymorphs: 0.113 eV/atom